[1]
Compound: RbBe
Source: Alexandria via LeMat-Bulk
Functional: PBE
Structure: optimized geometry

Summary:
Formation energy: 673 meV/atom
E_tot: -1.674 eV/atom
Calculated density: 2213 kg/m³
Distance to the lowest polymorph of the same formula: 49.8 meV/atom

Unit cell a=4.127 b=13.842 c=7.448 alpha=90.00 beta=90.00 gamma=90.00
Space group Amm2 (No. 38)
Unique sites:
Rb1 0.000 0.000 0.000 x2
Rb2 0.500 0.245 0.264 x4
Be1 0.000 0.070 0.515 x4
Be2 0.500 0.000 0.516 x2

=====

[2]
Compound: RbBe
Source: Alexandria via LeMat-Bulk
Functional: PBE
Structure: optimized geometry

Summary:
Formation energy: 1253 meV/atom
E_tot: -1.094 eV/atom
Calculated density: 2058 kg/m³
Distance to the lowest polymorph of the same formula: 629.7 meV/atom

Unit cell a=4.240 b=4.240 c=4.240 alpha=90.00 beta=90.00 gamma=90.00
Space group Pm-3m (No. 221)
Unique sites:
Rb1 0.000 0.000 0.000 x1
Be1 0.500 0.500 0.500 x1

=====

[3]
Compound: RbBe
Source: Alexandria via LeMat-Bulk
Functional: PBE
Structure: optimized geometry

Summary:
Formation energy: 1579 meV/atom
E_tot: -0.768 eV/atom
Calculated density: 954 kg/m³
Distance to the lowest polymorph of the same formula: 955.8 meV/atom

Unit cell a=9.957 b=9.957 c=9.957 alpha=90.00 beta=90.00 gamma=90.00
Space group Pm-3n (No. 223)
Unique sites:
Rb1 0.000 0.250 0.500 x6
Be1 0.000 0.500 0.250 x6

=====

> E_tot of number 2 (RbBe)?

-1.094 eV/atom

=====

> Which of these has the highest E_tot?

number 3

=====

> Among the records above, which one has the highest formation energy?

number 3

=====

What did the first record say?
Compound: RbBe
Source: Alexandria via LeMat-Bulk
Functional: PBE
Structure: optimized geometry

Summary:
Formation energy: 673 meV/atom
E_tot: -1.674 eV/atom
Calculated density: 2213 kg/m³
Distance to the lowest polymorph of the same formula: 49.8 meV/atom

Unit cell a=4.127 b=13.842 c=7.448 alpha=90.00 beta=90.00 gamma=90.00
Space group Amm2 (No. 38)
Unique sites:
Rb1 0.000 0.000 0.000 x2
Rb2 0.500 0.245 0.264 x4
Be1 0.000 0.070 0.515 x4
Be2 0.500 0.000 0.516 x2